BiOs2Rh: relaxed, GGA-PBE.

a b c (Å): 7.0140 7.0140 7.0140
angles (deg): 129.82 129.82 73.70
Element x y z (fractional)
Bi: 0.0000 0.0000 0.0000
Bi: 0.7500 0.2500 0.5000
Os: 0.1700 0.6250 0.0450
Os: 0.3750 0.4200 0.5450
Os: 0.5800 0.1250 0.9550
Os: 0.8750 0.8300 0.4550
Rh: 0.2500 0.7500 0.5000
Rh: 0.5000 0.5000 0.0000

Computed properties:
total magnetization = 0.00 μB per atom
raw total energy = -0.256 Ha/atom
ΔE_f = 1.444 eV/atom
space-group type = I-42d (122)